Computed, not measured: crystalline BaCaMo4O8 at its relaxed geometry at the PBE+U level of DFT.

Results
DFT total energy   -6.68 eV/atom
Size of the total moment   12.00 μB per cell

abc: 5.8531 5.8531 7.5629
angles: 90.00 90.00 120.00
Atoms (fractional coordinates):
1 O 0.3066 0.3066 0.6988
2 Mo 0.3333 0.6667 0.7295
3 O 0.0000 0.3066 0.3012
4 O 0.6934 0.6934 0.3012
5 Ca 0.0000 0.0000 0.5000
6 O 0.0000 0.6934 0.6988
7 O 0.6934 0.0000 0.6988
8 Ba 0.0000 0.0000 0.0000
9 O 0.3333 0.6667 0.0000
10 Mo 0.6667 0.3333 0.2705
11 O 0.3066 0.0000 0.3012
12 O 0.6667 0.3333 0.0000
13 Mo 0.6667 0.3333 0.7295
14 Mo 0.3333 0.6667 0.2705